K2PmCu2O4 | PBE | relaxed

## Properties
The calculation puts the energy relative to the elements, uncorrected at -1.4743 eV per atom. The symmetry is C2/m.

a = 3.499 Å, b = 6.482 Å, c = 6.940 Å
α = 106.43°, β = 104.60°, γ = 90.00°
Sites, in units of the cell vectors:
K1 0.872 0.444 0.743
O1 0.462 0.210 0.925
Pm1 0.000 0.000 0.000
O2 0.192 0.172 0.383
O3 0.808 0.828 0.617
K2 0.128 0.556 0.257
Cu1 0.684 0.031 0.368
Cu2 0.316 0.969 0.632
O4 0.538 0.790 0.075